A plane-wave DFT calculation with PBE was carried out for crystalline Pr2Th4Ge3H2 at its relaxed geometry.

Computed properties:
Its total energy is -64.852 eV/cell. As for the space-group type: I4/mmm.

POSCAR file:
```
Pr2Th4Ge3H2
1.0
-2.2491 1.5496 3.8564
-0.6166 -4.4607 1.4328
12.0400 1.9170 3.3563
Pr Th Ge H
2 4 3 2
direct
0.2969 0.2969 0.5939
0.7031 0.7031 0.4061
0.4197 0.9197 0.8394
0.9197 0.4197 0.8394
0.0803 0.5803 0.1606
0.5803 0.0803 0.1606
0.0000 0.0000 0.0000
0.1697 0.1697 0.3394
0.8303 0.8303 0.6606
0.3981 0.3981 0.7962
0.6019 0.6019 0.2038
```

---

A plane-wave DFT calculation with PBE was carried out for crystalline CaTlHAu at its relaxed geometry.

Computed properties:
As for the energy above the most stable polymorph in this dataset: 78 meV/atom. Its total energy is -23.922 eV/cell. As for the space-group type: C2.

POSCAR file:
```
CaTlHAu
1.0
4.0158 0.0000 -0.0159
0.0000 9.0191 0.0000
-3.4436 0.0000 4.7859
Ca Tl H Au
2 2 2 2
direct
0.0000 0.2393 0.0000
0.0000 0.7393 0.5000
0.5000 0.0111 0.5000
0.5000 0.5111 0.0000
0.5000 0.2527 0.5000
0.5000 0.7527 0.0000
0.5000 0.4751 0.5000
0.5000 0.9751 0.0000
```

---

A plane-wave DFT calculation with PBE was carried out for crystalline Pm3Pr2Ho7 at its relaxed geometry.

Computed properties:
For the energy of formation, the calculation gives 0.086 eV per atom. Its total energy is -54.825 eV/cell. As for the space-group type: P2/m.

POSCAR file:
```
Pm3Pr2Ho7
1.0
-1.8965 2.7252 -1.2348
-4.6685 -1.3853 4.1130
4.0948 9.5462 14.7787
Pm Pr Ho
3 2 7
direct
0.5000 0.5000 0.0000
0.0000 0.1133 0.3411
0.0000 0.8867 0.6589
0.5000 0.6188 0.3262
0.5000 0.3812 0.6738
0.5000 0.2452 0.4998
0.5000 0.7548 0.5002
0.0000 0.5641 0.1628
0.0000 0.0000 0.0000
0.0000 0.4359 0.8372
0.5000 0.9381 0.8355
0.5000 0.0619 0.1645
```

---

A plane-wave DFT calculation with PBE was carried out for crystalline ZrGaRh at its relaxed geometry.

Computed properties:
For the energy of formation, the calculation gives -0.662 eV per atom. Its total energy is -20.913 eV/cell. As for the space-group type: I4mm.

POSCAR file:
```
ZrGaRh
1.0
3.1587 0.0000 0.0000
0.0000 3.1587 0.0000
-1.5793 -1.5793 5.0909
Rh Zr Ga
1 1 1
direct
0.9378 0.9378 0.8755
0.6114 0.6114 0.2228
0.3008 0.3008 0.6016
```

---

A plane-wave DFT calculation with PBE was carried out for crystalline TiGaCuTc at its relaxed geometry.

Computed properties:
For the energy of formation, the calculation gives -0.208 eV per atom. As for the energy above the most stable polymorph in this dataset: 118 meV/atom. Its total energy is -26.215 eV/cell. As for the space-group type: F-43m.

POSCAR file:
```
TiGaCuTc
1.0
-3.7237 -0.4875 2.1532
-0.5500 -3.3922 2.6326
-0.1133 0.5839 4.2879
Cu Tc Ga Ti
1 1 1 1
direct
0.7500 0.7500 0.7500
0.2500 0.2500 0.2500
0.0000 0.0000 0.0000
0.5000 0.5000 0.5000
```

---

A plane-wave DFT calculation with PBE was carried out for crystalline Na3NpSb2Se6 at its relaxed geometry.

Computed properties:
Its total energy is -55.841 eV/cell. As for the space-group type: C2/m.

POSCAR file:
```
Na3NpSb2Se6
1.0
-0.7567 7.2223 0.3178
-5.4726 -4.3223 2.0502
4.5528 -0.9922 5.7816
Na Np Sb Se
3 1 2 6
direct
0.1703 0.8297 0.5000
0.8297 0.1703 0.5000
0.5000 0.5000 0.5000
0.0000 0.0000 0.0000
0.3337 0.6663 0.0000
0.6663 0.3337 0.0000
0.9231 0.5882 0.7683
0.7429 0.7429 0.2333
0.0769 0.4118 0.2317
0.5882 0.9231 0.7683
0.2571 0.2571 0.7667
0.4118 0.0769 0.2317
```

---

A plane-wave DFT calculation with PBE was carried out for crystalline Be2CdCN at its relaxed geometry.

Computed properties:
Its total energy is -22.665 eV/cell. As for the space-group type: P4/mmm.

POSCAR file:
```
Be2CdCN
1.0
-2.9896 -0.3713 1.1951
1.7874 -4.1397 3.1851
0.6820 2.1117 2.3620
Be C N Cd
2 1 1 1
direct
0.0000 0.0000 0.5000
0.5000 0.0000 0.0000
0.5000 0.5000 0.5000
0.0000 0.0000 0.0000
0.0000 0.5000 0.0000
```

---

A plane-wave DFT calculation with PBE was carried out for crystalline ScMnBr at its relaxed geometry.

Computed properties:
Its total energy is -15.838 eV/cell. As for the space-group type: F-43m.

POSCAR file:
```
ScMnBr
1.0
-2.4246 0.6605 -3.9520
-1.0868 -3.6550 -2.7191
-4.4399 -1.4607 -0.2952
Br Mn Sc
1 1 1
direct
0.0000 0.0000 0.0000
0.5000 0.5000 0.5000
0.7500 0.7500 0.7500
```